Density functional theory data (PBE) for a relaxed RbGaSn crystal.

- formation energy from the elements (meV per atom) = -112
- DOS at the Fermi energy (states/eV/f.u.) = 0.66
- electronic total energy (eV per cell) = -16.7
- magnetic moment (μB/f.u.) = 0.00

abc: 9.0135 9.0135 4.9860
angles: 105.96 105.96 33.75
With the nearest neighbours (Å) after each atom.
Sites, in units of the cell vectors:
Rb: 0.0000 0.0000 0.0000  6 Sn 3.66-3.96, 3 Ga 3.92-4.06
Rb: 0.6594 0.6594 0.6638  3 Sn 3.57-3.91, 4 Ga 3.64-3.78
Ga: 0.2447 0.2447 0.1715  2 Ga 2.72-2.91, 3 Sn 2.95-3.00
Ga: 0.3237 0.3237 0.7725  2 Ga 2.72-2.91, 1 Sn 2.90
Sn: 0.4228 0.4228 0.3912  3 Ga 2.90-3.07, 2 Sn 3.09
Sn: 0.8259 0.8259 0.3732  4 Ga 3.00-3.29, 2 Sn 3.09

Density functional theory data (PBE) for a relaxed CaGa2HgIr crystal.

- formation energy from the elements (meV per atom) = -369
- DOS at the Fermi energy (states/eV/f.u.) = 1.17
- electronic total energy (eV per cell) = -19.1
- magnetic moment (μB/f.u.) = 0.00

abc: 4.8201 4.8201 5.5595
angles: 90.00 90.00 90.00
With the nearest neighbours (Å) after each atom.
Sites, in units of the cell vectors:
Ca: 0.0000 0.0000 0.0000  2 Ir 2.78
Ga: 0.0000 0.5000 0.5000  2 Ir 2.41
Ga: 0.5000 0.0000 0.5000  2 Ir 2.41
Hg: 0.5000 0.5000 0.0000  4 Ca 3.41, 8 Ga 3.68
Ir: 0.0000 0.0000 0.5000  4 Ga 2.41